BaW | PBE | optimized geometry

Cell lengths 9.0571, 9.0571, 5.7963 Å; angles 90.00, 90.00, 120.00 degrees
Last column: nearest neighbours and their distance in Å.
Fractional coordinates of all 12 atoms:
Ba (0.8230, 0.6460, 0.2500)  6 W 3.37-3.60
Ba (0.1770, 0.8230, 0.7500)  6 W 3.37-3.60
Ba (0.3540, 0.1770, 0.2500)  6 W 3.37-3.60
Ba (0.1770, 0.3540, 0.7500)  6 W 3.37-3.60
Ba (0.8230, 0.1770, 0.2500)  6 W 3.37-3.60
Ba (0.6460, 0.8230, 0.7500)  6 W 3.37-3.60
W (0.4221, 0.8442, 0.2500)  2 W 2.41
W (0.5779, 0.4221, 0.7500)  2 W 2.41
W (0.1558, 0.5779, 0.2500)  2 W 2.41
W (0.5779, 0.1558, 0.7500)  2 W 2.41
W (0.4221, 0.5779, 0.2500)  2 W 2.41
W (0.8442, 0.4221, 0.7500)  2 W 2.41

Values from the calculation:
* E_form: 1044 meV/atom
* N(E_F): 2.04 states/eV/f.u.

Ba2W | PBE | optimized geometry

Cell lengths 3.6602, 3.6602, 9.0924 Å; angles 90.00, 90.00, 120.00 degrees
Last column: nearest neighbours and their distance in Å.
Fractional coordinates of all 3 atoms:
Ba (0.3333, 0.6667, 0.7272)  3 W 3.26
Ba (0.6667, 0.3333, 0.2728)  3 W 3.26
W (0.0000, 0.0000, 0.0000)  6 Ba 3.26

Values from the calculation:
* E_form: 1442 meV/atom
* N(E_F): 3.90 states/eV/f.u.

BaW | PBE | optimized geometry

Cell lengths 9.2499, 9.2499, 9.2499 Å; angles 90.00, 90.00, 90.00 degrees
Last column: nearest neighbours and their distance in Å.
Fractional coordinates of all 12 atoms:
Ba (0.2500, 0.0000, 0.5000)  4 W 3.27
Ba (0.7500, 0.0000, 0.5000)  4 W 3.27
Ba (0.0000, 0.5000, 0.2500)  4 W 3.27
Ba (0.0000, 0.5000, 0.7500)  4 W 3.27
Ba (0.5000, 0.2500, 0.0000)  4 W 3.27
Ba (0.5000, 0.7500, 0.0000)  4 W 3.27
W (0.2500, 0.5000, 0.0000)  4 Ba 3.27
W (0.7500, 0.5000, 0.0000)  4 Ba 3.27
W (0.5000, 0.0000, 0.2500)  4 Ba 3.27
W (0.5000, 0.0000, 0.7500)  4 Ba 3.27
W (0.0000, 0.2500, 0.5000)  4 Ba 3.27
W (0.0000, 0.7500, 0.5000)  4 Ba 3.27

Values from the calculation:
* E_form: 3141 meV/atom
* N(E_F): 3.14 states/eV/f.u.

Ba3W | PBE | optimized geometry

Cell lengths 3.9299, 3.9299, 12.6308 Å; angles 90.00, 90.00, 120.00 degrees
Last column: nearest neighbours and their distance in Å.
Fractional coordinates of all 4 atoms:
Ba (0.0000, 0.0000, 0.9393)  3 W 3.30
Ba (0.0000, 0.0000, 0.5607)  3 W 3.30
Ba (0.6667, 0.3333, 0.2500)  6 Ba 3.93
W (0.6667, 0.3333, 0.7500)  6 Ba 3.30

Values from the calculation:
* E_form: 1176 meV/atom
* N(E_F): 5.58 states/eV/f.u.

BaW | PBE | optimized geometry

Cell lengths 9.6639, 9.6639, 9.6639 Å; angles 90.00, 90.00, 90.00 degrees
Last column: nearest neighbours and their distance in Å.
Fractional coordinates of all 16 atoms:
Ba (0.2205, 0.2205, 0.2205)  4 W 3.16-3.49
Ba (0.2205, 0.7795, 0.7795)  4 W 3.16-3.49
Ba (0.7795, 0.2205, 0.7795)  4 W 3.16-3.49
Ba (0.7795, 0.7795, 0.2205)  4 W 3.16-3.49
Ba (0.7205, 0.7205, 0.7205)  4 W 3.16-3.49
Ba (0.7205, 0.2795, 0.2795)  4 W 3.16-3.49
Ba (0.2795, 0.7205, 0.2795)  4 W 3.16-3.49
Ba (0.2795, 0.2795, 0.7205)  4 W 3.16-3.49
W (0.4092, 0.4092, 0.4092)  3 W 2.48
W (0.4092, 0.5908, 0.5908)  3 W 2.48
W (0.5908, 0.4092, 0.5908)  3 W 2.48
W (0.5908, 0.5908, 0.4092)  3 W 2.48
W (0.9092, 0.9092, 0.9092)  3 W 2.48
W (0.9092, 0.0908, 0.0908)  3 W 2.48
W (0.0908, 0.9092, 0.0908)  3 W 2.48
W (0.0908, 0.0908, 0.9092)  3 W 2.48

Values from the calculation:
* E_form: 1521 meV/atom
* N(E_F): 2.42 states/eV/f.u.

BaW3 | PBE | optimized geometry

Cell lengths 4.7948, 4.7948, 4.7948 Å; angles 120.03, 120.03, 89.96 degrees
Last column: nearest neighbours and their distance in Å.
Fractional coordinates of all 4 atoms:
Ba (0.0000, 0.0000, 0.0000)  8 W 2.94
W (0.2500, 0.7500, 0.5000)  4 Ba 2.94, 4 W 2.94
W (0.5000, 0.5000, 0.0000)  8 W 2.94
W (0.7500, 0.2500, 0.5000)  4 Ba 2.94, 4 W 2.94

Values from the calculation:
* E_form: 1535 meV/atom
* N(E_F): 3.14 states/eV/f.u.